# Sr4IrSe (PBE, relaxed)
data_Sr4IrSe
_chemical_formula_sum 'Sr16 Ir4 Se4'
_cell_length_a 9.198
_cell_length_b 9.198
_cell_length_c 9.198
_cell_angle_alpha 90.00
_cell_angle_beta 90.00
_cell_angle_gamma 90.00
_symmetry_space_group_name_H-M 'F -4 3 m'
_symmetry_Int_Tables_number 216
_symmetry_space_group_name_Hall 'F -4 2 3'
loop_
_atom_site_label
_atom_site_type_symbol
_atom_site_fract_x
_atom_site_fract_y
_atom_site_fract_z
Sr1 Sr 0.124 0.124 0.124
Ir1 Ir 0.250 0.250 0.750
Se1 Se 0.000 0.000 0.500
# Energy relative to the elements, uncorrected ... 0.581 eV/atom